# TcAs2HSe

TcAs2HSe after structural relaxation (PBE-GGA, the Alexandria database).

a = 4.7991 Å, b = 4.7991 Å, c = 4.8525 Å
α = 90.00°, β = 90.00°, γ = 90.00°
Closest atoms and distances in Å follow each position.
Fractional coordinates of all 5 atoms:
H 0.5000 0.5000 0.5000  4 Se 3.39, 8 As 3.41
As 0.0000 0.5000 0.0000  2 Tc 2.40
As 0.5000 0.0000 0.0000  2 Tc 2.40
Tc 0.0000 0.0000 0.0000  4 As 2.40, 2 Se 2.43
Se 0.0000 0.0000 0.5000  2 Tc 2.43

The polymorph energy (0 for the lowest one) comes out at 95 meV per atom. The magnetization is 0.00 μB/f.u. For the uncorrected energy, the calculation gives -22.23 eV/cell.


# Mg3ZnI8

Mg3ZnI8 after structural relaxation (PBE-GGA, the Alexandria database).

a = 8.3487 Å, b = 8.3529 Å, c = 9.1363 Å
α = 117.84°, β = 90.00°, γ = 119.98°
Closest atoms and distances in Å follow each position.
Fractional coordinates of all 12 atoms:
Mg 0.5000 0.0000 0.0000  6 I 2.94
Mg 0.5000 0.5000 0.0000  6 I 2.94
Mg 0.0000 0.5000 0.0000  6 I 2.94
Zn 0.0000 0.0000 0.0000  6 I 2.89-2.90
I 0.2588 0.5177 0.7808  3 Mg 2.94
I 0.7412 0.4823 0.2192  3 Mg 2.94
I 0.2548 0.0175 0.7846  1 Zn 2.89, 2 Mg 2.94
I 0.7627 0.0175 0.7846  1 Zn 2.89, 2 Mg 2.94
I 0.7622 0.5243 0.7843  1 Zn 2.90, 2 Mg 2.94
I 0.2378 0.4757 0.2157  1 Zn 2.90, 2 Mg 2.94
I 0.2373 0.9825 0.2154  1 Zn 2.89, 2 Mg 2.94
I 0.7452 0.9825 0.2154  1 Zn 2.89, 2 Mg 2.94

The magnetization is 0.00 μB/f.u. For the formation energy from raw total energies, the calculation gives -0.90 eV/atom. For the uncorrected energy, the calculation gives -29.20 eV/cell.


# NpTl3Te3

NpTl3Te3 after structural relaxation (PBE-GGA, the Alexandria database).

a = 7.4759 Å, b = 7.4759 Å, c = 10.2218 Å
α = 97.71°, β = 97.71°, γ = 111.16°
Closest atoms and distances in Å follow each position.
Fractional coordinates of all 14 atoms:
Np 0.8875 0.8875 0.8741  1 Np 2.81, 4 Te 2.94-3.06
Np 0.1125 0.1125 0.1259  1 Np 2.81, 4 Te 2.94-3.06
Tl 0.5996 0.5996 0.3820  3 Te 3.22-3.30, 1 Tl 3.25
Tl 0.1490 0.8510 0.5000  2 Te 3.25
Tl 0.8510 0.1490 0.5000  2 Te 3.25
Tl 0.2899 0.7101 0.0000  6 Te 3.38-3.78
Tl 0.7101 0.2899 0.0000  6 Te 3.38-3.78
Tl 0.4004 0.4004 0.6180  3 Te 3.22-3.30, 1 Tl 3.25
Te 0.7489 0.7489 0.1194  2 Np 3.01-3.06, 1 Tl 3.22
Te 0.8768 0.5278 0.7108  1 Np 2.94, 1 Tl 3.25
Te 0.5278 0.8768 0.7108  1 Np 2.94, 1 Tl 3.25
Te 0.1232 0.4722 0.2892  1 Np 2.94, 1 Tl 3.25
Te 0.4722 0.1232 0.2892  1 Np 2.94, 1 Tl 3.25
Te 0.2511 0.2511 0.8806  2 Np 3.01-3.06, 1 Tl 3.22

The polymorph energy (0 for the lowest one) comes out at 150 meV per atom. The magnetization is 4.00 μB/f.u. For the formation energy from raw total energies, the calculation gives -0.29 eV/atom. For the uncorrected energy, the calculation gives -62.92 eV/cell.


# Ba3In7Au4

Ba3In7Au4 after structural relaxation (PBE-GGA, the Alexandria database).

a = 4.8884 Å, b = 9.2465 Å, c = 9.6006 Å
α = 69.46°, β = 75.25°, γ = 74.67°
Closest atoms and distances in Å follow each position.
Fractional coordinates of all 14 atoms:
Ba 0.3070 0.1877 0.1982  4 Au 3.49-3.50, 10 In 3.51-3.75
Ba 0.6930 0.8123 0.8018  4 Au 3.49-3.50, 10 In 3.51-3.75
Ba 0.0000 0.5000 0.5000  6 Au 3.43-3.68, 2 In 3.77
In 0.3243 0.8252 0.5262  4 Au 2.90-2.98, 1 In 3.08
In 0.4964 0.2152 0.7920  3 Au 2.86-3.11, 1 In 3.08
In 0.8442 0.3853 0.9263  3 Au 2.92-2.97
In 0.6757 0.1748 0.4738  4 Au 2.90-2.98, 1 In 3.08
In 0.1558 0.6147 0.0737  3 Au 2.92-2.97
In 0.0000 0.0000 0.0000  2 Au 3.10, 6 In 3.29-3.34
In 0.5036 0.7848 0.2080  3 Au 2.86-3.11, 1 In 3.08
Au 0.6610 0.4609 0.2170  5 In 2.86-2.97
Au 0.3390 0.5391 0.7830  5 In 2.86-2.97
Au 0.8735 0.9024 0.3506  6 In 2.90-3.11
Au 0.1265 0.0976 0.6494  6 In 2.90-3.11

The magnetization is 0.00 μB/f.u. The formation energy is -0.497 eV/atom. For the uncorrected energy, the calculation gives -45.00 eV/cell.


# Sb2RuI

Sb2RuI after structural relaxation (PBE-GGA, the Alexandria database).

a = 5.1072 Å, b = 5.1072 Å, c = 5.1072 Å
α = 60.00°, β = 60.00°, γ = 60.00°
Closest atoms and distances in Å follow each position.
Fractional coordinates of all 4 atoms:
I 0.5000 0.5000 0.5000  8 Sb 3.13
Sb 0.2500 0.2500 0.2500  4 Ru 3.13, 4 I 3.13
Sb 0.7500 0.7500 0.7500  4 Ru 3.13, 4 I 3.13
Ru 0.0000 0.0000 0.0000  8 Sb 3.13

The polymorph energy (0 for the lowest one) comes out at 580 meV per atom. The magnetization is 0.93 μB/f.u. For the formation energy from raw total energies, the calculation gives 0.84 eV/atom. For the uncorrected energy, the calculation gives -15.71 eV/cell.


# PmPr2SmSe5

PmPr2SmSe5 after structural relaxation (PBE-GGA, the Alexandria database).

a = 5.2591 Å, b = 5.2591 Å, c = 11.0370 Å
α = 90.00°, β = 90.00°, γ = 90.00°
Closest atoms and distances in Å follow each position.
Fractional coordinates of all 9 atoms:
Pm 0.0000 0.0000 0.0000  2 Se 2.72
Pr 0.5000 0.5000 0.3318  4 Se 3.22
Pr 0.5000 0.5000 0.6682  4 Se 3.22
Sm 0.0000 0.0000 0.5000  6 Se 2.63-2.80
Se 0.0000 0.5000 0.5000  2 Sm 2.63
Se 0.5000 0.0000 0.5000  2 Sm 2.63
Se 0.0000 0.0000 0.7534  1 Pm 2.72, 1 Sm 2.80
Se 0.0000 0.0000 0.2466  1 Pm 2.72, 1 Sm 2.80
Se 0.5000 0.5000 0.0000  2 Pr 3.66, 4 Pm 3.72

The magnetization is 0.24 μB/f.u. For the formation energy from raw total energies, the calculation gives -1.22 eV/atom. For the uncorrected energy, the calculation gives -47.48 eV/cell.


# MgScCr

MgScCr after structural relaxation (PBE-GGA, the Alexandria database).

a = 4.7860 Å, b = 4.7860 Å, c = 3.0483 Å
α = 90.00°, β = 90.00°, γ = 120.00°
Closest atoms and distances in Å follow each position.
Fractional coordinates of all 3 atoms:
Cr 0.0000 0.0000 0.0263  3 Mg 2.87, 3 Sc 2.94, 2 Cr 3.05
Mg 0.6667 0.3333 0.2815  3 Cr 2.87, 3 Sc 3.03, 2 Mg 3.05
Sc 0.3333 0.6667 0.6922  3 Cr 2.94, 6 Mg 3.03-3.30, 2 Sc 3.05

The polymorph energy (0 for the lowest one) comes out at 76 meV per atom. The magnetization is 3.38 μB/f.u. The formation energy is 0.318 eV/atom. For the uncorrected energy, the calculation gives -16.60 eV/cell.


# DyTmSi3

DyTmSi3 after structural relaxation (PBE-GGA, the Alexandria database).

a = 3.9204 Å, b = 4.0905 Å, c = 12.3883 Å
α = 99.50°, β = 90.00°, γ = 90.00°
Closest atoms and distances in Å follow each position.
Fractional coordinates of all 10 atoms:
Dy 0.2500 0.0702 0.1403  12 Si 3.04-3.35
Dy 0.7500 0.9298 0.8597  12 Si 3.04-3.35
Tm 0.2500 0.7967 0.5935  7 Si 2.88-2.89
Tm 0.7500 0.2033 0.4065  7 Si 2.88-2.89
Si 0.2500 0.3800 0.7600  3 Si 2.32-2.43
Si 0.7500 0.6200 0.2400  3 Si 2.32-2.43
Si 0.2500 0.4748 0.9495  3 Si 2.32
Si 0.7500 0.5252 0.0505  3 Si 2.32
Si 0.7500 0.3211 0.6422  2 Si 2.43
Si 0.2500 0.6789 0.3578  2 Si 2.43

The magnetization is 0.00 μB/f.u. For the formation energy from raw total energies, the calculation gives -0.67 eV/atom. For the uncorrected energy, the calculation gives -57.34 eV/cell.